## LiFeP4O12 (PBEsol)

Data for a relaxed LiFeP4O12 crystal.

Summary:
Raw formation energy in meV per atom: -2021.3

Unit cell a=7.3029 b=8.4752 c=9.2571 alpha=65.43 beta=66.77 gamma=64.48
Each line ends with the local moment (μB).
Positions (direct):
Li 0.3011 0.2500 0.7500  0.00
Li 0.6989 0.7500 0.2500  0.00
O 0.5150 0.9366 0.7902  0.01
O 0.6589 0.8047 0.0432  0.01
O 0.7582 0.4366 0.2902  0.01
O 0.3411 0.1953 0.9568  0.01
O 0.9664 0.2678 0.5106  0.09
O 0.6396 0.2078 0.2915  0.01
O 0.8537 0.9239 0.2091  0.07
O 0.1463 0.0761 0.7909  0.07
O 0.6075 0.4660 0.7247  0.11
O 0.4931 0.3047 0.5432  0.01
O 0.4850 0.0634 0.2098  0.01
O 0.9867 0.5761 0.2909  0.07
O 0.3604 0.7922 0.7085  0.01
O 0.2017 0.9660 0.2247  0.11
O 0.0336 0.7322 0.4894  0.09
O 0.2552 0.7678 0.0106  0.09
O 0.8611 0.7078 0.7915  0.01
O 0.1389 0.2922 0.2085  0.01
O 0.3925 0.5340 0.2753  0.11
O 0.7448 0.2322 0.9894  0.09
O 0.5069 0.6953 0.4568  0.01
O 0.0133 0.4239 0.7091  0.07
O 0.2418 0.5634 0.7098  0.01
O 0.7983 0.0340 0.7753  0.11
P 0.7097 0.8774 0.8621  0.01
P 0.3043 0.8905 0.8387  0.02
P 0.2903 0.1226 0.1379  0.01
P 0.4493 0.6226 0.6379  0.01
P 0.9665 0.3905 0.3387  0.02
P 0.5507 0.3774 0.3621  0.01
P 0.6957 0.1095 0.1613  0.02
P 0.0335 0.6095 0.6613  0.02
Fe 0.1409 0.7500 0.2500  4.12
Fe 0.8591 0.2500 0.7500  4.12

## Li2As (PBEsol)

Data for a relaxed Li2As crystal.

Summary:
ΔH_f (0 K) in eV/atom: -0.6122

Unit cell a=2.8859 b=4.3213 c=7.2881 alpha=90.00 beta=101.42 gamma=90.00
Positions (direct):
Li 0.2747 0.7500 0.5494
Li 0.7253 0.2500 0.4506
Li 0.0528 0.2500 0.1056
Li 0.9472 0.7500 0.8944
As 0.6208 0.7500 0.2417
As 0.3792 0.2500 0.7583

## ScMoCl3 (PBEsol)

Data for a relaxed ScMoCl3 crystal.

Summary:
Raw formation energy in meV per atom: -336.5

Unit cell a=4.9333 b=4.9333 c=4.9333 alpha=90.00 beta=90.00 gamma=90.00
Each line ends with the local moment (μB).
Positions (direct):
Sc 0.0000 0.0000 0.0000  -0.19
Mo 0.5000 0.5000 0.5000  4.32
Cl 0.0000 0.0000 0.5000  0.03
Cl 0.0000 0.5000 0.0000  0.03
Cl 0.5000 0.0000 0.0000  0.03

## TcAg3 (PBEsol)

Data for a relaxed TcAg3 crystal.

Summary:
ΔH_f (0 K) in eV/atom: 0.3326

Unit cell a=2.6862 b=2.6862 c=8.6845 alpha=90.00 beta=90.00 gamma=90.00
Positions (direct):
Ag 0.5000 0.5000 0.0000
Ag 0.0000 0.0000 0.7461
Ag 0.0000 0.0000 0.2539
Tc 0.5000 0.5000 0.5000

## ScTl2In (PBEsol)

Data for a relaxed ScTl2In crystal.

Summary:
ΔH_f (0 K) in eV/atom: -0.2175

Unit cell a=4.4815 b=4.5524 c=4.5524 alpha=90.00 beta=90.00 gamma=90.00
Positions (direct):
In 0.5000 0.5000 0.5000
Sc 0.5000 0.0000 0.0000
Tl 0.0000 0.5000 0.0000
Tl 0.0000 0.0000 0.5000

## BeTlFe (PBEsol)

Data for a relaxed BeTlFe crystal.

Summary:
ΔH_f (0 K) in eV/atom: 0.5940

Unit cell a=3.2324 b=3.8145 c=3.8145 alpha=120.00 beta=90.00 gamma=90.00
Each line ends with the local moment (μB).
Positions (direct):
Fe 0.0000 0.6667 0.3333  0.25
Be 0.0000 0.0000 0.0000  -0.01
Tl 0.5000 0.3333 0.6667  -0.01

Please write out number 1 again, unchanged.
## LiFeP4O12 (PBEsol)

Data for a relaxed LiFeP4O12 crystal.

Summary:
Raw formation energy in meV per atom: -2021.3

Unit cell a=7.3029 b=8.4752 c=9.2571 alpha=65.43 beta=66.77 gamma=64.48
Each line ends with the local moment (μB).
Positions (direct):
Li 0.3011 0.2500 0.7500  0.00
Li 0.6989 0.7500 0.2500  0.00
O 0.5150 0.9366 0.7902  0.01
O 0.6589 0.8047 0.0432  0.01
O 0.7582 0.4366 0.2902  0.01
O 0.3411 0.1953 0.9568  0.01
O 0.9664 0.2678 0.5106  0.09
O 0.6396 0.2078 0.2915  0.01
O 0.8537 0.9239 0.2091  0.07
O 0.1463 0.0761 0.7909  0.07
O 0.6075 0.4660 0.7247  0.11
O 0.4931 0.3047 0.5432  0.01
O 0.4850 0.0634 0.2098  0.01
O 0.9867 0.5761 0.2909  0.07
O 0.3604 0.7922 0.7085  0.01
O 0.2017 0.9660 0.2247  0.11
O 0.0336 0.7322 0.4894  0.09
O 0.2552 0.7678 0.0106  0.09
O 0.8611 0.7078 0.7915  0.01
O 0.1389 0.2922 0.2085  0.01
O 0.3925 0.5340 0.2753  0.11
O 0.7448 0.2322 0.9894  0.09
O 0.5069 0.6953 0.4568  0.01
O 0.0133 0.4239 0.7091  0.07
O 0.2418 0.5634 0.7098  0.01
O 0.7983 0.0340 0.7753  0.11
P 0.7097 0.8774 0.8621  0.01
P 0.3043 0.8905 0.8387  0.02
P 0.2903 0.1226 0.1379  0.01
P 0.4493 0.6226 0.6379  0.01
P 0.9665 0.3905 0.3387  0.02
P 0.5507 0.3774 0.3621  0.01
P 0.6957 0.1095 0.1613  0.02
P 0.0335 0.6095 0.6613  0.02
Fe 0.1409 0.7500 0.2500  4.12
Fe 0.8591 0.2500 0.7500  4.12